First-principles (PBE) data for a relaxed structure of FeCu2Pb, as listed in Alexandria.

abc: 4.8591 4.8591 4.8591
angles: 131.89 131.89 70.41
Last column: magnetic moment on the atom in μB.
Sites, in units of the cell vectors:
Fe 0.2500 0.7500 0.5000  2.60
Cu 0.5000 0.5000 0.0000  0.02
Cu 0.0000 0.0000 0.0000  0.02
Pb 0.7500 0.2500 0.5000  -0.03

Results
E_form	0.436	eV/atom
total magnetic moment	2.633	μB/f.u.
E	-4.654	eV/atom